The following is a PBE-GGA calculation of an optimized crystal structure of AcTm2MgHg4, from the Alexandria database.

Magnetization in Bohr magnetons per cell: 0.000
DFT formation energy in eV per atom: -0.4139
Volume in Å³/cell: 640.8
Crystal system: trigonal

a b c (Å): 5.0695 5.0695 28.7929
angles (deg): 90.00 90.00 120.00
With the nearest neighbours (Å) after each atom.
Space group R-3m (No. 166, hexagonal axes)
Inequivalent atoms, fractional coordinates:
Ac  0.0000  0.0000  0.0000 x3  8 Hg 3.39-3.68
Tm  0.0000  0.0000  0.2365 x6  7 Hg 3.06-3.13
Mg  0.0000  0.0000  0.5000 x3  8 Hg 3.09-3.13
Hg  0.0000  0.0000  0.1278 x6  4 Tm 3.06-3.13, 3 Mg 3.13
Hg  0.0000  0.0000  0.3928 x6  1 Mg 3.09, 3 Tm 3.12, 3 Ac 3.39

=====

The following is a PBE-GGA calculation of an optimized crystal structure of Ac2TmMg3Hg12, from the Alexandria database.

Magnetization in Bohr magnetons per cell: 0.001
DFT formation energy in eV per atom: -0.1711
Volume in Å³/cell: 1528.9
Crystal system: trigonal

a b c (Å): 7.0013 7.0013 36.0148
angles (deg): 90.00 90.00 120.00
With the nearest neighbours (Å) after each atom.
Space group R-3m (No. 166, hexagonal axes)
Inequivalent atoms, fractional coordinates:
Ac  0.0000  0.0000  0.1384 x6  12 Hg 3.55-3.63
Tm  0.0000  0.0000  0.5000 x3  6 Hg 2.93
Mg  0.0000  0.5000  0.0000 x9  4 Hg 2.83
Hg  0.0224  0.5112  0.8885 x18  1 Tm 2.93, 4 Hg 3.05-3.27
Hg  0.0437  0.5219  0.6160 x18  2 Mg 2.83, 4 Hg 3.04-3.05

=====

The following is a PBE-GGA calculation of an optimized crystal structure of Ac2YMgHg6, from the Alexandria database.

Magnetization in Bohr magnetons per cell: 0.000
DFT formation energy in eV per atom: -0.2834
Volume in Å³/cell: 295.3
Crystal system: triclinic

a b c (Å): 6.0958 7.0690 7.9066
angles (deg): 80.61 69.56 67.75
With the nearest neighbours (Å) after each atom.
Space group P-1 (No. 2)
Inequivalent atoms, fractional coordinates:
Ac  0.0068  0.2172  0.2749 x2  8 Hg 3.39-3.62, 2 Mg 3.73
Y  0.5000  0.5000  0.0000 x1  6 Hg 3.00-3.09
Mg  0.5000  0.0000  0.5000 x1  6 Hg 2.89-3.02
Hg  0.0027  0.2940  0.7107 x2  1 Mg 3.02, 3 Hg 3.08-3.11, 1 Y 3.09
Hg  0.3491  0.9471  0.8949 x2  1 Mg 2.93, 1 Y 3.00, 2 Hg 3.11-3.21
Hg  0.4939  0.6636  0.3386 x2  1 Mg 2.89, 1 Y 3.07, 3 Hg 3.08-3.15